# 1
The following is a PBE calculation of BC2 after structural relaxation, from Alexandria.

Properties
N(E_F): 0.0992 states/eV/atom
Total DFT energy (no corrections): -96.83 eV per cell
Crystal system: triclinic
Symmetry: P1, No. 1

a = 6.007 Å, b = 6.048 Å, c = 3.669 Å
α = 89.47°, β = 90.49°, γ = 144.69°
Fractional coordinates of all 12 atoms:
1 B 0.218 0.859 0.539
2 B 0.794 0.645 0.217
3 B 0.329 0.671 0.999
4 B 0.822 0.166 0.504
5 C 0.679 0.825 0.749
6 C 0.495 0.009 0.235
7 C 0.495 0.494 0.513
8 C 0.663 0.325 0.994
9 C 0.981 0.492 0.754
10 C 0.180 0.326 0.248
11 C 0.333 0.174 0.753
12 C 0.012 0.013 0.994


# 2
The following is a PBE calculation of HoLuCdIn after structural relaxation, from Alexandria.

Properties
N(E_F): 0.9033 states/eV/atom
Total DFT energy (no corrections): -14.26 eV per cell
Crystal system: cubic
Symmetry: F-43m, No. 216

a = 5.239 Å, b = 5.239 Å, c = 5.239 Å
α = 60.00°, β = 60.00°, γ = 60.00°
Fractional coordinates of all 4 atoms:
1 Cd 0.750 0.750 0.750
2 Lu 0.000 0.000 0.000
3 Ho 0.500 0.500 0.500
4 In 0.250 0.250 0.250


# 3
The following is a PBE calculation of LiPrAu4 after structural relaxation, from Alexandria.

Properties
N(E_F): 0.4255 states/eV/atom
Total DFT energy (no corrections): -23.10 eV per cell
Crystal system: hexagonal
Symmetry: P6/mmm, No. 191

a = 4.736 Å, b = 4.736 Å, c = 6.565 Å
α = 90.00°, β = 90.00°, γ = 120.00°
Fractional coordinates of all 6 atoms:
1 Au 0.667 0.333 0.776
2 Au 0.333 0.667 0.224
3 Au 0.333 0.667 0.776
4 Au 0.667 0.333 0.224
5 Pr 0.000 0.000 0.500
6 Li 0.000 0.000 0.000


# 4
The following is a PBE calculation of Li2HfTc2 after structural relaxation, from Alexandria.

Properties
N(E_F): 0.4488 states/eV/atom
Total DFT energy (no corrections): -32.67 eV per cell
Crystal system: tetragonal
Symmetry: I4/mmm, No. 139

a = 3.653 Å, b = 3.653 Å, c = 7.128 Å
α = 75.15°, β = 75.15°, γ = 90.00°
Fractional coordinates of all 5 atoms:
1 Li 0.750 0.250 0.500
2 Li 0.250 0.750 0.500
3 Hf 0.000 0.000 0.000
4 Tc 0.585 0.585 0.831
5 Tc 0.415 0.415 0.169


# 5
The following is a PBE calculation of RbHf3Sb after structural relaxation, from Alexandria.

Properties
N(E_F): 1.4443 states/eV/atom
Raw formation energy: 2.205 eV/atom
Total DFT energy (no corrections): -23.92 eV per cell
Crystal system: cubic
Symmetry: Pm-3m, No. 221

a = 5.066 Å, b = 5.066 Å, c = 5.066 Å
α = 90.00°, β = 90.00°, γ = 90.00°
Fractional coordinates of all 5 atoms:
1 Hf 0.500 0.000 0.000
2 Hf 0.000 0.000 0.500
3 Hf 0.000 0.500 0.000
4 Rb 0.000 0.000 0.000
5 Sb 0.500 0.500 0.500


# 6
The following is a PBE calculation of CsZnGePSeBr after structural relaxation, from Alexandria.

Properties
N(E_F): 0.2911 states/eV/atom
Raw formation energy: -0.583 eV/atom
Total DFT energy (no corrections): -20.81 eV per cell
Crystal system: monoclinic
Symmetry: Pm, No. 6

a = 6.450 Å, b = 3.945 Å, c = 7.560 Å
α = 90.00°, β = 95.19°, γ = 90.00°
Fractional coordinates of all 6 atoms:
1 Ge 0.851 0.000 0.879
2 Br 0.262 0.500 0.190
3 Cs 0.725 0.000 0.351
4 Se 0.160 0.000 0.717
5 P 0.668 0.500 0.778
6 Zn 0.329 0.500 0.871


# 7
The following is a PBE calculation of YCr2Ir after structural relaxation, from Alexandria.

Properties
N(E_F): 1.1469 states/eV/atom
Total DFT energy (no corrections): -31.94 eV per cell
Crystal system: trigonal
Symmetry: R-3m, No. 166

a = 9.412 Å, b = 9.412 Å, c = 9.412 Å
α = 17.23°, β = 17.23°, γ = 17.23°
Fractional coordinates of all 4 atoms:
1 Y 0.750 0.750 0.750
2 Ir 0.250 0.250 0.250
3 Cr 0.510 0.510 0.510
4 Cr 0.990 0.990 0.990


# 8
The following is a PBE calculation of Sc3UO8 after structural relaxation, from Alexandria.

Properties
N(E_F): 0.3712 states/eV/atom
Raw formation energy: -3.144 eV/atom
Total DFT energy (no corrections): -107.67 eV per cell
Crystal system: cubic
Symmetry: Pm-3m, No. 221

a = 5.126 Å, b = 5.126 Å, c = 5.126 Å
α = 90.00°, β = 90.00°, γ = 90.00°
Fractional coordinates of all 12 atoms:
1 Sc 0.500 0.000 0.500
2 Sc 0.000 0.500 0.500
3 Sc 0.500 0.500 0.000
4 O 0.752 0.248 0.752
5 O 0.752 0.752 0.752
6 O 0.248 0.752 0.752
7 O 0.752 0.248 0.248
8 O 0.752 0.752 0.248
9 O 0.248 0.248 0.248
10 O 0.248 0.248 0.752
11 O 0.248 0.752 0.248
12 U 0.000 0.000 0.000